(1)
# Pm2Al5Zn3, relaxed, DFT PBE-GGA
data_Pm2Al5Zn3
_chemical_formula_sum 'Pm8 Al20 Zn12'
_cell_length_a 10.924
_cell_length_b 11.933
_cell_length_c 5.963
_cell_angle_alpha 90.00
_cell_angle_beta 90.00
_cell_angle_gamma 90.00
_space_group_name_H-M_alt 'I b a m'
_space_group_IT_number 72
_space_group_name_Hall '-I 2 2c'
loop_
_atom_site_label
_atom_site_type_symbol
_atom_site_fract_x
_atom_site_fract_y
_atom_site_fract_z
Pm1 Pm 0.249 0.127 0.000
Al1 Al 0.000 0.255 0.250
Al2 Al 0.000 0.500 0.250
Al3 Al 0.138 0.122 0.500
Zn1 Zn 0.000 0.000 0.250
Zn2 Zn 0.139 0.377 0.000
# Density = 5.3 g/cm3
# Total magnetization = 0.000 μB/atom

(2)
# Pm2Al5Zn3, relaxed, DFT PBE-GGA
data_Pm2Al5Zn3
_chemical_formula_sum 'Pm2 Al5 Zn3'
_cell_length_a 4.213
_cell_length_b 4.213
_cell_length_c 11.029
_cell_angle_alpha 90.00
_cell_angle_beta 90.00
_cell_angle_gamma 90.00
_space_group_name_H-M_alt 'P -4 m 2'
_space_group_IT_number 115
loop_
_space_group_symop_operation_xyz
'x,y,z'
'y,-x,-z'
'-x,-y,z'
'-y,x,-z'
'-x,y,z'
'-y,-x,-z'
'x,-y,z'
'y,x,-z'
loop_
_atom_site_label
_atom_site_type_symbol
_atom_site_fract_x
_atom_site_fract_y
_atom_site_fract_z
Pm1 Pm 0.000 0.500 0.250
Al1 Al 0.000 0.000 0.000
Al2 Al 0.000 0.000 0.500
Al3 Al 0.000 0.500 0.853
Al4 Al 0.500 0.500 0.000
Zn1 Zn 0.000 0.500 0.632
Zn2 Zn 0.500 0.500 0.500
# Density = 5.3 g/cm3
# Total magnetization = 0.000 μB/atom

Which structure is the most stable? The one labeled (1).

(1)
# Pr4Al, relaxed, DFT PBE-GGA
data_Pr4Al
_chemical_formula_sum 'Pr16 Al4'
_cell_length_a 9.408
_cell_length_b 9.408
_cell_length_c 8.015
_cell_angle_alpha 90.00
_cell_angle_beta 90.00
_cell_angle_gamma 90.00
_space_group_name_H-M_alt 'I 41/a m d'
_space_group_IT_number 141
loop_
_space_group_symop_operation_xyz
'x,y,z'
'-x,-y,-z'
'-y+1/4,x+3/4,z+1/4'
'y+1/4,-x+3/4,-z+1/4'
'-x+1/2,-y,z+1/2'
'x+1/2,y,-z+1/2'
'y+1/4,-x+1/4,z+3/4'
'-y+1/4,x+1/4,-z+3/4'
'x,-y,-z'
'-x,y,z'
'-y+1/4,-x+1/4,-z+3/4'
'y+1/4,x+1/4,z+3/4'
'-x+1/2,y,-z+1/2'
'x+1/2,-y,z+1/2'
'y+1/4,x+3/4,-z+1/4'
'-y+1/4,-x+3/4,z+1/4'
'x+1/2,y+1/2,z+1/2'
'-x+1/2,-y+1/2,-z+1/2'
'-y+3/4,x+1/4,z+3/4'
'y+3/4,-x+1/4,-z+3/4'
'-x,-y+1/2,z'
'x,y+1/2,-z'
'y+3/4,-x+3/4,z+1/4'
'-y+3/4,x+3/4,-z+1/4'
'x+1/2,-y+1/2,-z+1/2'
'-x+1/2,y+1/2,z+1/2'
'-y+3/4,-x+3/4,-z+1/4'
'y+3/4,x+3/4,z+1/4'
'-x,y+1/2,-z'
'x,-y+1/2,z'
'y+3/4,x+1/4,-z+3/4'
'-y+3/4,-x+1/4,z+3/4'
loop_
_atom_site_label
_atom_site_type_symbol
_atom_site_fract_x
_atom_site_fract_y
_atom_site_fract_z
Pr1 Pr 0.000 0.062 0.214
Al1 Al 0.000 0.250 0.875
# Density = 5.5 g/cm3
# Total magnetization = 0.000 μB/atom

(2)
# Pr4Al, relaxed, DFT PBE-GGA
data_Pr4Al
_chemical_formula_sum 'Pr4 Al1'
_cell_length_a 5.790
_cell_length_b 5.790
_cell_length_c 5.790
_cell_angle_alpha 90.00
_cell_angle_beta 90.00
_cell_angle_gamma 90.00
_space_group_name_H-M_alt 'P m -3 m'
_space_group_IT_number 221
_space_group_name_Hall '-P 4 2 3'
loop_
_atom_site_label
_atom_site_type_symbol
_atom_site_fract_x
_atom_site_fract_y
_atom_site_fract_z
Pr1 Pr 0.000 0.000 0.000
Pr2 Pr 0.000 0.500 0.500
Al1 Al 0.500 0.500 0.500
# Density = 5.1 g/cm3
# Total magnetization = 0.000 μB/atom

Which structure is the most stable? The one labeled (1).

(1)
# PrAl6, relaxed, DFT PBE-GGA
data_PrAl6
_chemical_formula_sum 'Pr2 Al12'
_cell_length_a 5.980
_cell_length_b 5.980
_cell_length_c 7.980
_cell_angle_alpha 90.00
_cell_angle_beta 90.00
_cell_angle_gamma 90.00
_space_group_name_H-M_alt 'P 4/n b m'
_space_group_IT_number 125
loop_
_space_group_symop_operation_xyz
'x,y,z'
'-x,-y,-z'
'-y+1/2,x,z'
'y+1/2,-x,-z'
'-x+1/2,-y+1/2,z'
'x+1/2,y+1/2,-z'
'y,-x+1/2,z'
'-y,x+1/2,-z'
'x,-y+1/2,-z'
'-x,y+1/2,z'
'-y+1/2,-x+1/2,-z'
'y+1/2,x+1/2,z'
'-x+1/2,y,-z'
'x+1/2,-y,z'
'y,x,-z'
'-y,-x,z'
loop_
_atom_site_label
_atom_site_type_symbol
_atom_site_fract_x
_atom_site_fract_y
_atom_site_fract_z
Pr1 Pr 0.250 0.750 0.000
Al1 Al 0.070 0.570 0.355
Al2 Al 0.250 0.250 0.161
# Density = 3.5 g/cm3
# Total magnetization = 0.000 μB/atom

(2)
# PrAl6, relaxed, DFT PBE-GGA
data_PrAl6
_chemical_formula_sum 'Pr2 Al12'
_cell_length_a 7.137
_cell_length_b 7.137
_cell_length_c 7.137
_cell_angle_alpha 90.00
_cell_angle_beta 90.00
_cell_angle_gamma 90.00
_space_group_name_H-M_alt 'I m -3 m'
_space_group_IT_number 229
_space_group_name_Hall '-I 4 2 3'
loop_
_atom_site_label
_atom_site_type_symbol
_atom_site_fract_x
_atom_site_fract_y
_atom_site_fract_z
Pr1 Pr 0.000 0.000 0.000
Al1 Al 0.000 0.250 0.500
# Density = 2.8 g/cm3
# Total magnetization = 0.000 μB/atom

Which structure is the most stable? The one labeled (1).

(1)
# Pr3Al4Pt4, relaxed, DFT PBE-GGA
data_Pr3Al4Pt4
_chemical_formula_sum 'Pr6 Al8 Pt8'
_cell_length_a 4.248
_cell_length_b 7.293
_cell_length_c 14.463
_cell_angle_alpha 90.00
_cell_angle_beta 90.00
_cell_angle_gamma 90.00
_space_group_name_H-M_alt 'I m m m'
_space_group_IT_number 71
_space_group_name_Hall '-I 2 2'
loop_
_atom_site_label
_atom_site_type_symbol
_atom_site_fract_x
_atom_site_fract_y
_atom_site_fract_z
Pr1 Pr 0.000 0.000 0.000
Pr2 Pr 0.000 0.500 0.120
Al1 Al 0.000 0.305 0.321
Pt1 Pt 0.000 0.000 0.217
Pt2 Pt 0.000 0.210 0.500
# Density = 9.7 g/cm3
# Total magnetization = 0.000 μB/atom

(2)
# Pr3Al4Pt4, relaxed, DFT PBE-GGA
data_Pr3Al4Pt4
_chemical_formula_sum 'Pr6 Al8 Pt8'
_cell_length_a 7.804
_cell_length_b 7.804
_cell_length_c 7.804
_cell_angle_alpha 90.00
_cell_angle_beta 90.00
_cell_angle_gamma 90.00
_space_group_name_H-M_alt 'I -4 3 m'
_space_group_IT_number 217
_space_group_name_Hall 'I -4 2 3'
loop_
_atom_site_label
_atom_site_type_symbol
_atom_site_fract_x
_atom_site_fract_y
_atom_site_fract_z
Pr1 Pr 0.000 0.000 0.500
Al1 Al 0.131 0.131 0.869
Pt1 Pt 0.187 0.187 0.187
# Density = 9.2 g/cm3
# Total magnetization = 0.000 μB/atom

Which structure is the most stable? The one labeled (1).